--- a ---
Compound: LiPmInPb
Source: Alexandria via LeMat-Bulk
Functional: PBE-GGA
Structure: relaxed

Cell and atoms, written as POSCAR:
```
LiPmInPb
1.0
-0.7895 -1.7904 4.9174
4.1149 -0.7003 3.2537
0.6842 3.2320 4.1346
Pb In Li Pm
1 1 1 1
Cartesian
3.0072 0.5560 9.2293
1.0024 0.1853 3.0764
0.0000 0.0000 0.0000
2.0048 0.3706 6.1528
```

Summary:
theoretical density = 7.51 g cm⁻³
symmetry = No. 216


--- b ---
Compound: LiPmInPb
Source: Alexandria via LeMat-Bulk
Functional: PBE-GGA
Structure: relaxed

Cell and atoms, written as POSCAR:
```
LiPmInPb
1.0
-2.6790 -2.5835 -2.6425
3.4298 -3.1739 -0.3742
-1.6578 -2.2487 3.8792
Li Pm In Pb
1 1 1 1
Cartesian
0.0000 0.0000 0.0000
0.8860 -2.7113 1.7525
0.3754 -2.8787 -1.5083
-2.1684 -2.4161 0.6184
```

Summary:
theoretical density = 7.69 g cm⁻³
symmetry = No. 47


Order from most stable to least stable according to the calculation: b, a